An optimized crystal structure of TaBeH. Source: Alexandria, functional PBE-GGA.

Structure (CIF):
```
data_TaBeH
_cell_length_a 9.4046
_cell_length_b 3.4508
_cell_length_c 3.4754
_cell_angle_alpha 90.00
_cell_angle_beta 90.41
_cell_angle_gamma 90.00
_symmetry_space_group_name_H-M 'C 1 m 1'
_symmetry_Int_Tables_number 8
_symmetry_space_group_name_Hall 'C -2y'
loop_
_atom_site_label
_atom_site_fract_x
_atom_site_fract_y
_atom_site_fract_z
_atom_site_occupancy
Ta1 0.0000 0.0000 0.0000 1
Ta2 0.2038 0.5000 0.5090 1
Be1 0.2757 0.0000 0.0048 1
Be2 0.4098 0.0000 0.5142 1
H1 0.1144 0.5000 0.0017 1
H2 0.4265 0.0000 0.0856 1
```

## Properties
Its polymorph energy (0 for the lowest one) is 142 meV per atom. Its density of states at the Fermi level is 1.843 states/eV/cell.

An optimized crystal structure of TaBeH2. Source: Alexandria, functional PBE-GGA.

Structure (CIF):
```
data_TaBeH2
_cell_length_a 3.8890
_cell_length_b 3.8890
_cell_length_c 8.8624
_cell_angle_alpha 90.00
_cell_angle_beta 90.00
_cell_angle_gamma 90.00
_symmetry_space_group_name_H-M 'I -4 2 d'
_symmetry_Int_Tables_number 122
_symmetry_space_group_name_Hall 'I -4 2bw'
loop_
_atom_site_label
_atom_site_fract_x
_atom_site_fract_y
_atom_site_fract_z
_atom_site_occupancy
Ta1 0.0000 0.0000 0.0000 1
Be1 0.0000 0.0000 0.5000 1
H1 0.1885 0.2500 0.6250 1
```

## Properties
Its polymorph energy (0 for the lowest one) is 307 meV per atom. Its density of states at the Fermi level is 5.977 states/eV/cell.

An optimized crystal structure of TaBeH2. Source: Alexandria, functional PBE-GGA.

Structure (CIF):
```
data_TaBeH2
_cell_length_a 4.9389
_cell_length_b 4.9389
_cell_length_c 4.9389
_cell_angle_alpha 90.00
_cell_angle_beta 90.00
_cell_angle_gamma 90.00
_symmetry_space_group_name_H-M 'F m -3 m'
_symmetry_Int_Tables_number 225
_symmetry_space_group_name_Hall '-F 4 2 3'
loop_
_atom_site_label
_atom_site_fract_x
_atom_site_fract_y
_atom_site_fract_z
_atom_site_occupancy
Ta1 0.0000 0.0000 0.0000 1
Be1 0.0000 0.0000 0.5000 1
H1 0.2500 0.2500 0.2500 1
```

## Properties
Its polymorph energy (0 for the lowest one) is 418 meV per atom. Its density of states at the Fermi level is 5.909 states/eV/cell.

An optimized crystal structure of TaBeH. Source: Alexandria, functional PBE-GGA.

Structure (CIF):
```
data_TaBeH
_cell_length_a 9.4418
_cell_length_b 3.4662
_cell_length_c 3.4440
_cell_angle_alpha 90.00
_cell_angle_beta 90.15
_cell_angle_gamma 90.00
_symmetry_space_group_name_H-M 'C 1 m 1'
_symmetry_Int_Tables_number 8
_symmetry_space_group_name_Hall 'C -2y'
loop_
_atom_site_label
_atom_site_fract_x
_atom_site_fract_y
_atom_site_fract_z
_atom_site_occupancy
Ta1 0.0000 0.0000 0.0000 1
Ta2 0.1922 0.5000 0.5059 1
Be1 0.2689 0.0000 0.0026 1
Be2 0.4107 0.0000 0.5108 1
H1 0.2918 0.5000 0.0032 1
H2 0.4300 0.0000 0.0735 1
```

## Properties
Its polymorph energy (0 for the lowest one) is 149 meV per atom. Its density of states at the Fermi level is 2.936 states/eV/cell.

An optimized crystal structure of Ta2BeH. Source: Alexandria, functional PBE-GGA.

Structure (CIF):
```
data_Ta2BeH
_cell_length_a 5.8148
_cell_length_b 5.8148
_cell_length_c 5.8148
_cell_angle_alpha 90.00
_cell_angle_beta 90.00
_cell_angle_gamma 90.00
_symmetry_space_group_name_H-M 'F m -3 m'
_symmetry_Int_Tables_number 225
_symmetry_space_group_name_Hall '-F 4 2 3'
loop_
_atom_site_label
_atom_site_fract_x
_atom_site_fract_y
_atom_site_fract_z
_atom_site_occupancy
Ta1 0.2500 0.2500 0.2500 1
Be1 0.0000 0.0000 0.0000 1
H1 0.0000 0.0000 0.5000 1
```

## Properties
Its polymorph energy (0 for the lowest one) is 292 meV per atom. Its density of states at the Fermi level is 9.193 states/eV/cell.

An optimized crystal structure of TaBe2H6. Source: Alexandria, functional PBE-GGA.

Structure (CIF):
```
data_TaBe2H6
_cell_length_a 6.4208
_cell_length_b 6.4208
_cell_length_c 6.4208
_cell_angle_alpha 90.00
_cell_angle_beta 90.00
_cell_angle_gamma 90.00
_symmetry_space_group_name_H-M 'F m -3 m'
_symmetry_Int_Tables_number 225
_symmetry_space_group_name_Hall '-F 4 2 3'
loop_
_atom_site_label
_atom_site_fract_x
_atom_site_fract_y
_atom_site_fract_z
_atom_site_occupancy
Ta1 0.0000 0.0000 0.0000 1
Be1 0.2500 0.2500 0.2500 1
H1 0.0000 0.0000 0.2824 1
```

## Properties
The total energy is -3.778 eV per atom. Its density of states at the Fermi level is 14.009 states/eV/cell.

What is the formula in the fourth record? TaBeH